Entry 1:
This record from Alexandria via LeMat-Bulk describes crystalline YZnSb2 at its relaxed geometry. The functional is PBE.

Unit cell a=3.976 b=3.987 c=6.259 alpha=90.00 beta=90.00 gamma=90.00
Positions (direct):
Y: 0.000 0.000 0.000
Zn: 0.000 0.000 0.500
Sb: 0.500 0.500 0.255
Sb: 0.500 0.500 0.745

Output
Its space-group type is No. 47. The formation energy (no corrections) comes out at -0.434 eV/atom. The value obtained for the electronic total energy is -4.4302 eV/atom.

---

Entry 2:
This record from Alexandria via LeMat-Bulk describes crystalline YZn2Sb at its relaxed geometry. The functional is PBE.

Unit cell a=4.352 b=4.352 c=4.545 alpha=90.00 beta=90.00 gamma=90.00
Positions (direct):
Y: 0.000 0.000 0.000
Zn: 0.000 0.500 0.500
Zn: 0.500 0.000 0.500
Sb: 0.500 0.500 0.000

Output
Its space-group type is No. 123. The formation energy (no corrections) comes out at -0.424 eV/atom. The value obtained for the electronic total energy is -3.7073 eV/atom.

---

Entry 3:
This record from Alexandria via LeMat-Bulk describes crystalline YZnSb2 at its relaxed geometry. The functional is PBE.

Unit cell a=4.186 b=4.186 c=21.367 alpha=90.00 beta=90.00 gamma=120.00
Positions (direct):
Y: 0.000 0.000 0.000
Y: 0.333 0.667 0.667
Y: 0.667 0.333 0.333
Zn: 0.000 0.000 0.500
Zn: 0.333 0.667 0.167
Zn: 0.667 0.333 0.833
Sb: 0.000 0.000 0.241
Sb: 0.000 0.000 0.759
Sb: 0.333 0.667 0.426
Sb: 0.333 0.667 0.907
Sb: 0.667 0.333 0.093
Sb: 0.667 0.333 0.574

Output
Its space-group type is No. 166. The formation energy (no corrections) comes out at -0.312 eV/atom. The value obtained for the electronic total energy is -4.3078 eV/atom.

---

Entry 4:
This record from Alexandria via LeMat-Bulk describes crystalline YZn2Sb at its relaxed geometry. The functional is PBE.

Unit cell a=7.669 b=4.426 c=5.907 alpha=90.00 beta=115.87 gamma=90.00
Positions (direct):
Y: 0.000 0.000 0.000
Y: 0.500 0.500 0.000
Zn: 0.274 0.500 0.320
Zn: 0.442 0.000 0.324
Zn: 0.774 0.000 0.320
Zn: 0.942 0.500 0.324
Sb: 0.210 0.000 0.632
Sb: 0.710 0.500 0.632

Output
Its space-group type is No. 8. The formation energy (no corrections) comes out at -0.402 eV/atom. The value obtained for the electronic total energy is -3.6861 eV/atom.

---

Q: What is the formation energy (no corrections) in the first record?
A: -0.434 eV/atom

---

Q: What is the formation energy (no corrections) in the third record?
A: -0.312 eV/atom